## YBe2Sb (PBE)

Data for crystalline YBe2Sb at its relaxed geometry.

E_form (uncorrected) = 3 kJ/mol of atoms
Crystal system = trigonal
E = -4.48 eV per atom
Space-group type = R-3m, No. 166
DOS(E_F) = 1.29 states/eV/f.u.

abc: 4.0991 4.0991 14.9980
angles: 90.00 90.00 120.00
Element x y z (fractional)
Y  0.0000  0.0000  0.0000
Y  0.3333  0.6667  0.6667
Y  0.6667  0.3333  0.3333
Be  0.0000  0.0000  0.2164
Be  0.0000  0.0000  0.7836
Be  0.3333  0.6667  0.4503
Be  0.3333  0.6667  0.8830
Be  0.6667  0.3333  0.1170
Be  0.6667  0.3333  0.5497
Sb  0.0000  0.0000  0.5000
Sb  0.3333  0.6667  0.1667
Sb  0.6667  0.3333  0.8333

***

## Pm2Dy3Ho6Er (PBE)

Data for crystalline Pm2Dy3Ho6Er at its relaxed geometry.

Crystal system = monoclinic
DFT formation energy = 2 kJ per mole of atoms
E = -4.59 eV per atom
Space-group type = C2/m, No. 12
DOS(E_F) = 15.28 states/eV/f.u.

abc: 6.1412 6.1412 11.7469
angles: 94.98 94.98 119.95
Element x y z (fractional)
Pm  0.1666  0.8334  0.0000
Pm  0.8334  0.1666  0.0000
Dy  0.0000  0.0000  0.5000
Dy  0.3335  0.6665  0.5000
Dy  0.6665  0.3335  0.5000
Ho  0.0830  0.4157  0.7484
Ho  0.2518  0.2518  0.2519
Ho  0.4157  0.0830  0.7484
Ho  0.5843  0.9170  0.2516
Ho  0.7482  0.7482  0.7481
Ho  0.9170  0.5843  0.2516
Er  0.5000  0.5000  0.0000

***

## MnVAsRh (PBE)

Data for crystalline MnVAsRh at its relaxed geometry.

Crystal system = cubic
DFT formation energy = -26 kJ per mole of atoms
E = -7.84 eV per atom
Space-group type = F-43m, No. 216
DOS(E_F) = 0.99 states/eV/f.u.

abc: 6.0726 6.0726 6.0726
angles: 90.00 90.00 90.00
Element x y z (fractional)
Mn  0.0000  0.0000  0.0000
Mn  0.0000  0.5000  0.5000
Mn  0.5000  0.0000  0.5000
Mn  0.5000  0.5000  0.0000
V  0.2500  0.2500  0.7500
V  0.2500  0.7500  0.2500
V  0.7500  0.2500  0.2500
V  0.7500  0.7500  0.7500
As  0.0000  0.0000  0.5000
As  0.0000  0.5000  0.0000
As  0.5000  0.0000  0.0000
As  0.5000  0.5000  0.5000
Rh  0.2500  0.2500  0.2500
Rh  0.2500  0.7500  0.7500
Rh  0.7500  0.2500  0.7500
Rh  0.7500  0.7500  0.2500

***

## Sb2RuPb (PBE)

Data for crystalline Sb2RuPb at its relaxed geometry.

E_form (uncorrected) = 14 kJ/mol of atoms
Crystal system = tetragonal
E = -5.17 eV per atom
Space-group type = P4mm, No. 99
DOS(E_F) = 1.49 states/eV/f.u.

abc: 3.2641 3.2641 8.9909
angles: 90.00 90.00 90.00
Element x y z (fractional)
Sb  0.0000  0.0000  0.0000
Sb  0.5000  0.5000  0.3101
Ru  0.5000  0.5000  0.8403
Pb  0.0000  0.0000  0.6168

***

## AcSm2IrN4 (PBE)

Data for crystalline AcSm2IrN4 at its relaxed geometry.

E_form (uncorrected) = -79 kJ/mol of atoms
Crystal system = orthorhombic
E = -7.78 eV per atom
Space-group type = Cmcm, No. 63
DOS(E_F) = 3.38 states/eV/f.u.

abc: 6.3744 6.3744 11.9341
angles: 90.00 90.00 147.74
Element x y z (fractional)
Ac  0.1062  0.8938  0.7500
Ac  0.8938  0.1062  0.2500
Sm  0.3694  0.6306  0.5448
Sm  0.3694  0.6306  0.9552
Sm  0.6306  0.3694  0.0448
Sm  0.6306  0.3694  0.4552
Ir  0.1547  0.8453  0.2500
Ir  0.8453  0.1547  0.7500
N  0.0000  0.0000  0.0000
N  0.0000  0.0000  0.5000
N  0.2706  0.7294  0.1274
N  0.2706  0.7294  0.3726
N  0.4365  0.5635  0.7500
N  0.5635  0.4365  0.2500
N  0.7294  0.2706  0.6274
N  0.7294  0.2706  0.8726

***

## Th2UN6 (PBE)

Data for crystalline Th2UN6 at its relaxed geometry.

E_form (uncorrected) = -62 kJ/mol of atoms
Crystal system = tetragonal
E = -9.10 eV per atom
Space-group type = P4_2/mnm, No. 136
DOS(E_F) = 8.74 states/eV/f.u.

abc: 5.2100 5.2100 11.0135
angles: 90.00 90.00 90.00
Element x y z (fractional)
Th  0.0000  0.0000  0.1646
Th  0.0000  0.0000  0.8354
Th  0.5000  0.5000  0.3354
Th  0.5000  0.5000  0.6646
U  0.0000  0.0000  0.5000
U  0.5000  0.5000  0.0000
N  0.1797  0.1797  0.3521
N  0.1797  0.1797  0.6479
N  0.2079  0.2079  0.0000
N  0.2921  0.7079  0.5000
N  0.3203  0.6797  0.1479
N  0.3203  0.6797  0.8521
N  0.6797  0.3203  0.1479
N  0.6797  0.3203  0.8521
N  0.7079  0.2921  0.5000
N  0.7921  0.7921  0.0000
N  0.8203  0.8203  0.3521
N  0.8203  0.8203  0.6479

***

Copy entry 5 word for word.
## AcSm2IrN4 (PBE)

Data for crystalline AcSm2IrN4 at its relaxed geometry.

E_form (uncorrected) = -79 kJ/mol of atoms
Crystal system = orthorhombic
E = -7.78 eV per atom
Space-group type = Cmcm, No. 63
DOS(E_F) = 3.38 states/eV/f.u.

abc: 6.3744 6.3744 11.9341
angles: 90.00 90.00 147.74
Element x y z (fractional)
Ac  0.1062  0.8938  0.7500
Ac  0.8938  0.1062  0.2500
Sm  0.3694  0.6306  0.5448
Sm  0.3694  0.6306  0.9552
Sm  0.6306  0.3694  0.0448
Sm  0.6306  0.3694  0.4552
Ir  0.1547  0.8453  0.2500
Ir  0.8453  0.1547  0.7500
N  0.0000  0.0000  0.0000
N  0.0000  0.0000  0.5000
N  0.2706  0.7294  0.1274
N  0.2706  0.7294  0.3726
N  0.4365  0.5635  0.7500
N  0.5635  0.4365  0.2500
N  0.7294  0.2706  0.6274
N  0.7294  0.2706  0.8726

***

- What is the formula in the sixth record?
  Th2UN6

***

- Look up the DOS(E_F) of the second one.
  15.28 states/eV/f.u.

***

- What is the formula in the third record?
  MnVAsRh